Entry 1:
# Ti2InW

A relaxed structure of Ti2InW (PBE, the Alexandria database).

a b c (Å): 5.922 5.922 5.922
angles (deg): 102.86 102.86 123.69
Sites, in units of the cell vectors:
Ti  0.095  0.125  0.470
Ti  0.375  0.905  0.030
Ti  0.655  0.625  0.530
Ti  0.875  0.345  0.970
In  0.250  0.750  0.500
In  0.500  0.500  0.000
W  0.000  0.000  0.000
W  0.750  0.250  0.500

***

Entry 2:
# CsCdAgSb

A relaxed structure of CsCdAgSb (PBE, the Alexandria database).

Computed properties:
The formation energy from raw total energies comes out at -0.09 eV per atom.

a b c (Å): 4.432 4.432 14.704
angles (deg): 90.00 90.00 90.00
Sites, in units of the cell vectors:
Cs  0.250  0.250  0.219
Cs  0.750  0.750  0.781
Cd  0.250  0.750  0.500
Cd  0.750  0.250  0.500
Ag  0.250  0.750  0.000
Ag  0.750  0.250  0.000
Sb  0.250  0.250  0.630
Sb  0.750  0.750  0.370

***

Entry 3:
# La8Dy2In

A relaxed structure of La8Dy2In (PBE, the Alexandria database).

Computed properties:
Its energy above the most stable polymorph in this dataset is 0 meV per atom.

a b c (Å): 9.675 9.675 8.244
angles (deg): 105.23 105.23 30.48
Sites, in units of the cell vectors:
La  0.045  0.045  0.235
La  0.136  0.136  0.678
La  0.325  0.325  0.592
La  0.409  0.409  0.051
La  0.591  0.591  0.949
La  0.675  0.675  0.408
La  0.864  0.864  0.322
La  0.955  0.955  0.765
Dy  0.227  0.227  0.134
Dy  0.773  0.773  0.866
In  0.500  0.500  0.500

***

Entry 4:
# RbTbS2O8

A relaxed structure of RbTbS2O8 (PBE, the Alexandria database).

Computed properties:
The formation energy from raw total energies comes out at -2.10 eV per atom.

a b c (Å): 5.382 5.382 8.498
angles (deg): 90.00 90.00 120.00
Sites, in units of the cell vectors:
Rb  0.000  0.000  0.000
Tb  0.000  0.000  0.500
S  0.333  0.667  0.726
S  0.667  0.333  0.274
O  0.126  0.375  0.664
O  0.249  0.874  0.664
O  0.333  0.667  0.898
O  0.375  0.249  0.336
O  0.625  0.751  0.664
O  0.667  0.333  0.102
O  0.751  0.126  0.336
O  0.874  0.625  0.336

***

Entry 5:
# TaInTe2

A relaxed structure of TaInTe2 (PBE, the Alexandria database).

Computed properties:
The formation energy from raw total energies comes out at -0.17 eV per atom.

a b c (Å): 3.438 8.257 9.115
angles (deg): 107.43 91.10 91.79
Sites, in units of the cell vectors:
Ta  0.000  0.000  0.000
Ta  0.483  0.795  0.763
In  0.500  0.416  0.187
In  0.981  0.379  0.577
Te  0.507  0.149  0.832
Te  0.530  0.051  0.255
Te  0.953  0.744  0.508
Te  0.976  0.646  0.931

***

Entry 6:
# ScGa3Tc

A relaxed structure of ScGa3Tc (PBE, the Alexandria database).

Computed properties:
Its energy above the most stable polymorph in this dataset is 1171 meV per atom.

a b c (Å): 5.019 5.019 5.019
angles (deg): 90.00 90.00 90.00
Sites, in units of the cell vectors:
Sc  0.000  0.000  0.000
Ga  0.000  0.000  0.500
Ga  0.000  0.500  0.000
Ga  0.500  0.000  0.000
Tc  0.500  0.500  0.500

***

| no. | DOS at the Fermi energy (states/eV/cell) | total energy (eV/cell) | M_tot (μB/cell) |
| --- | --- | --- | --- |
| 1 | 7.2 | -58.50 | 0.000 |
| 2 | 3.4 | -18.21 | 0.000 |
| 3 | 15.9 | -52.21 | 0.000 |
| 4 | 0.0 | -78.68 | 0.000 |
| 5 | 3.6 | -43.09 | 0.000 |
| 6 | 3.5 | -19.78 | 3.051 |